The following is a DFT calculation (PBE-GGA) of a relaxed ReTeCl2 crystal.

Cell: 6.806 6.806 6.806 Å, 90.00 90.00 90.00°
Space group F-43m (No. 216)
Unique sites:
Re: 0.000 0.000 0.000 [4 per cell]
Te: 0.250 0.250 0.250 [4 per cell]
Cl: 0.000 0.000 0.500 [4 per cell]
Cl: 0.250 0.250 0.750 [4 per cell]

- Raw formation energy: 740 meV per atom
- ΔE to the lowest computed polymorph: 18.885 kcal/mol of atoms